Compound: CsCoAuF6
Source: Alexandria
Functional: PBE+U
Structure: relaxed

Values from the calculation:
- Final energy: -4.0662 eV/atom
- Total moment: 17.1 μB/cell

Unit cell a=7.611 b=8.039 c=10.540 alpha=90.00 beta=90.00 gamma=90.00
Space group Imma (No. 74)
Unique sites:
Cs 0.000 0.250 0.101 (multiplicity 4)
Co 0.250 0.250 0.750 (multiplicity 4)
Au 0.000 0.000 0.500 (multiplicity 4)
F 0.000 0.250 0.416 (multiplicity 4)
F 0.000 0.250 0.797 (multiplicity 4)
F 0.222 0.070 0.621 (multiplicity 16)